1.
Density functional theory data (PBE) for CaLa2SmSb4 after structural relaxation.

Energy relative to the elements, uncorrected, eV per formula unit: -8.827

abc: 7.831 4.587 7.974
angles: 90.00 109.73 90.00
Fractional coordinates of all 8 atoms:
Ca1 0.000 0.000 0.000
La1 0.500 0.000 0.500
La2 0.500 0.500 0.000
Sm1 0.000 0.500 0.500
Sb1 0.243 0.000 0.745
Sb2 0.245 0.500 0.251
Sb3 0.755 0.500 0.749
Sb4 0.757 0.000 0.255


2.
Density functional theory data (PBE) for CaLa2TbSb4 after structural relaxation.

Energy relative to the elements, uncorrected, eV per formula unit: -8.761

abc: 7.771 4.571 7.962
angles: 90.00 109.76 90.00
Fractional coordinates of all 8 atoms:
Ca1 0.000 0.000 0.000
La1 0.500 0.000 0.500
La2 0.500 0.500 0.000
Tb1 0.000 0.500 0.500
Sb1 0.240 0.000 0.742
Sb2 0.243 0.500 0.253
Sb3 0.757 0.500 0.747
Sb4 0.760 0.000 0.258


3.
Density functional theory data (PBE) for Ca2LaSbTe after structural relaxation.

Energy relative to the elements, uncorrected, eV per formula unit: 2.244

abc: 6.528 6.528 5.694
angles: 90.00 90.00 90.00
Fractional coordinates of all 5 atoms:
Ca1 0.000 0.500 0.000
Ca2 0.500 0.000 0.000
La1 0.000 0.000 0.000
Sb1 0.000 0.000 0.500
Te1 0.500 0.500 0.500


4.
Density functional theory data (PBE) for CaLaSb2Te after structural relaxation.

Energy relative to the elements, uncorrected, eV per formula unit: -0.964
Energy relative to the lowest polymorph listed for this composition, meV/atom: 30

abc: 5.991 5.991 6.053
angles: 90.00 90.00 90.00
Fractional coordinates of all 5 atoms:
Ca1 0.000 0.000 0.000
La1 0.500 0.500 0.500
Sb1 0.000 0.500 0.500
Sb2 0.500 0.000 0.500
Te1 0.500 0.500 0.000


5.
Density functional theory data (PBE) for CaLaSb2Te after structural relaxation.

Energy relative to the elements, uncorrected, eV per formula unit: -1.113
Energy relative to the lowest polymorph listed for this composition, meV/atom: 0

abc: 5.618 5.618 5.691
angles: 90.00 90.00 90.00
Fractional coordinates of all 5 atoms:
Ca1 0.000 0.000 0.000
La1 0.500 0.500 0.500
Sb1 0.000 0.500 0.000
Sb2 0.500 0.000 0.000
Te1 0.000 0.000 0.500


6.
Density functional theory data (PBE) for Ca3LaTh2Sb6 after structural relaxation.

Energy relative to the elements, uncorrected, eV per formula unit: -11.877

abc: 7.953 7.953 7.783
angles: 99.81 99.81 119.98
Fractional coordinates of all 12 atoms:
Ca1 0.000 0.000 0.000
Ca2 0.336 0.664 0.000
Ca3 0.664 0.336 0.000
La1 0.500 0.500 0.500
Th1 0.167 0.833 0.500
Th2 0.833 0.167 0.500
Sb1 0.079 0.418 0.253
Sb2 0.243 0.243 0.746
Sb3 0.418 0.079 0.253
Sb4 0.582 0.921 0.747
Sb5 0.757 0.757 0.254
Sb6 0.921 0.582 0.747


7.
Density functional theory data (PBE) for CaLaYSb2 after structural relaxation.

Energy relative to the elements, uncorrected, eV per formula unit: 2.083

abc: 5.965 5.965 5.668
angles: 90.00 90.00 90.00
Fractional coordinates of all 5 atoms:
Ca1 0.000 0.000 0.000
La1 0.000 0.000 0.500
Y1 0.500 0.500 0.000
Sb1 0.000 0.500 0.500
Sb2 0.500 0.000 0.500


8.
Density functional theory data (PBE) for CaLaY2Sb4 after structural relaxation.

Energy relative to the elements, uncorrected, eV per formula unit: -8.675

abc: 7.718 4.471 7.856
angles: 90.00 109.17 90.00
Fractional coordinates of all 8 atoms:
Ca1 0.000 0.000 0.000
La1 0.500 0.500 0.000
Y1 0.000 0.500 0.500
Y2 0.500 0.000 0.500
Sb1 0.244 0.000 0.737
Sb2 0.253 0.500 0.262
Sb3 0.747 0.500 0.738
Sb4 0.756 0.000 0.263


9.
Density functional theory data (PBE) for CaLaZn2Sb after structural relaxation.

Energy relative to the elements, uncorrected, eV per formula unit: 4.105

abc: 5.493 5.493 6.450
angles: 90.00 90.00 90.00
Fractional coordinates of all 5 atoms:
Ca1 0.000 0.000 0.000
La1 0.000 0.000 0.500
Zn1 0.000 0.500 0.500
Zn2 0.500 0.000 0.500
Sb1 0.500 0.500 0.000


10.
Density functional theory data (PBE) for CaLaZnSb after structural relaxation.

Energy relative to the elements, uncorrected, eV per formula unit: -2.425

abc: 5.388 5.388 5.388
angles: 60.00 60.00 60.00
Fractional coordinates of all 4 atoms:
Ca1 0.000 0.000 0.000
La1 0.500 0.500 0.500
Zn1 0.250 0.250 0.250
Sb1 0.750 0.750 0.750


11.
Density functional theory data (PBE) for CaLa2Sc after structural relaxation.

Energy relative to the lowest polymorph listed for this composition, meV/atom: 129

abc: 5.811 5.811 5.811
angles: 60.00 60.00 60.00
Fractional coordinates of all 4 atoms:
Ca1 0.000 0.000 0.000
La1 0.250 0.250 0.250
La2 0.500 0.500 0.500
Sc1 0.750 0.750 0.750


12.
Density functional theory data (PBE) for CaLa2Sc2 after structural relaxation.

Energy relative to the lowest polymorph listed for this composition, meV/atom: 71

abc: 9.451 9.451 3.674
angles: 90.00 90.00 90.00
Fractional coordinates of all 10 atoms:
Ca1 0.000 0.000 0.000
Ca2 0.500 0.500 0.000
La1 0.133 0.367 0.000
La2 0.367 0.867 0.000
La3 0.633 0.133 0.000
La4 0.867 0.633 0.000
Sc1 0.166 0.666 0.500
Sc2 0.334 0.166 0.500
Sc3 0.666 0.834 0.500
Sc4 0.834 0.334 0.500


no.,N(E_F) (states/eV per cell)
1,5.57
2,5.46
3,5.78
4,5.30
5,4.38
6,7.78
7,5.58
8,4.04
9,5.86
10,2.80
11,7.87
12,13.97